Below is a relaxed Ni2AuN crystal, with properties calculated at the GGA-PBE level.

Cell lengths 2.819, 2.819, 22.015 Å; angles 90.00, 90.00, 120.00 degrees
Element x y z (fractional)
Ni 0.000 0.000 0.119
Ni 0.000 0.000 0.881
Ni 0.333 0.667 0.548
Ni 0.333 0.667 0.785
Ni 0.667 0.333 0.215
Ni 0.667 0.333 0.452
Au 0.000 0.000 0.000
Au 0.333 0.667 0.667
Au 0.667 0.333 0.333
N 0.000 0.000 0.500
N 0.333 0.667 0.167
N 0.667 0.333 0.833

Output
- formation energy without anion corrections (eV per atom) = 0.344
- density of states at the Fermi level (states/eV per atom) = 0.661
- E_tot (eV per atom) = -5.447

***

Below is a relaxed Ni3AuN crystal, with properties calculated at the GGA-PBE level.

Cell lengths 2.650, 6.736, 7.115 Å; angles 90.00, 90.00, 90.00 degrees
Element x y z (fractional)
Ni 0.000 0.000 0.000
Ni 0.000 0.500 0.500
Ni 0.500 0.178 0.338
Ni 0.500 0.322 0.838
Ni 0.500 0.678 0.838
Ni 0.500 0.822 0.338
Au 0.500 0.000 0.666
Au 0.500 0.500 0.166
N 0.000 0.000 0.253
N 0.000 0.500 0.753

Output
- formation energy without anion corrections (eV per atom) = 0.271
- density of states at the Fermi level (states/eV per atom) = 1.134
- E_tot (eV per atom) = -5.519